First-principles (PBE) data for crystalline Ac3DyCd4 at its relaxed geometry, as listed in Alexandria.

Cell: 3.9714 3.9714 16.1432 Å, 90.00 90.00 90.00°
Closest atoms and distances in Å follow each position.
Space group P4/mmm (No. 123)
Asymmetric unit:
Ac (0.0000, 0.0000, 0.0000) x1  8 Cd 3.50
Ac (0.0000, 0.0000, 0.2619) x2  8 Cd 3.53-3.56, 1 Dy 3.84
Dy (0.0000, 0.0000, 0.5000) x1  8 Cd 3.26
Cd (0.5000, 0.5000, 0.1298) x2  8 Ac 3.50-3.53
Cd (0.5000, 0.5000, 0.3976) x2  4 Dy 3.26, 1 Cd 3.31, 4 Ac 3.56

* total DFT energy (no corrections): -2.86 eV/atom
* crystal system: tetragonal
* ΔH_f (0 K): -284 meV/atom
* size of the total moment: 0.02 μB/f.u.
* Fermi-level density of states: 10.7 states/eV per cell